Material: Li2ZnCdGa2Ir2
Method: DFT, PBE
State: relaxed

a = 4.3535 Å, b = 4.3535 Å, c = 6.1871 Å
α = 90.00°, β = 90.00°, γ = 90.00°
With the nearest neighbours (Å) after each atom.
Fractional coordinates of all 8 atoms:
Zn (0.5000, 0.5000, 0.5000)  4 Ir 2.61, 4 Li 2.63
Ga (0.5000, 0.5000, 0.0000)  4 Li 2.71, 4 Ir 2.73
Cd (0.0000, 0.0000, 0.0000)  4 Li 2.71, 4 Ir 2.73
Ir (0.0000, 0.5000, 0.7326)  2 Zn 2.61, 4 Ga 2.61-2.73, 2 Cd 2.73, 1 Li 2.92
Ir (0.5000, 0.0000, 0.2674)  2 Zn 2.61, 4 Ga 2.61-2.73, 2 Cd 2.73, 1 Li 2.92
Ga (0.0000, 0.0000, 0.5000)  4 Ir 2.61, 4 Li 2.63
Li (0.5000, 0.0000, 0.7392)  2 Zn 2.63, 4 Ga 2.63-2.71, 2 Cd 2.71, 1 Ir 2.92
Li (0.0000, 0.5000, 0.2608)  2 Zn 2.63, 4 Ga 2.63-2.71, 2 Cd 2.71, 1 Ir 2.92

The uncorrected energy comes out at -32.701 eV per formula unit. As for the space-group type: P-4m2, No. 115.